The following is a DFT calculation (PBE) of a relaxed NpMn2CrS6 crystal.

## Properties
**Formation energy from raw total energies**: -0.7550 eV per atom
**Uncorrected energy**: -73.218 eV per cell
**Space group**: No. 146

abc: 6.8257 6.8257 6.8257
angles: 54.92 54.92 54.92
Last column: nearest neighbours and their distance in Å.
Positions (direct):
Np 0.0000 0.0000 0.0000  6 S 2.67-2.68
Mn 0.3049 0.3049 0.3049  6 S 2.49-2.59
Mn 0.8104 0.8104 0.8104  6 S 2.43-2.55
Cr 0.4955 0.4955 0.4955  6 S 2.42-2.45
S 0.0970 0.6917 0.4339  1 Cr 2.42, 2 Mn 2.43-2.59, 1 Np 2.67
S 0.2229 0.5790 0.8959  1 Cr 2.45, 2 Mn 2.49-2.55, 1 Np 2.68
S 0.4339 0.0970 0.6917  1 Cr 2.42, 2 Mn 2.43-2.59, 1 Np 2.67
S 0.5790 0.8959 0.2229  1 Cr 2.45, 2 Mn 2.49-2.55, 1 Np 2.68
S 0.6917 0.4339 0.0970  1 Cr 2.42, 2 Mn 2.43-2.59, 1 Np 2.67
S 0.8959 0.2229 0.5790  1 Cr 2.45, 2 Mn 2.49-2.55, 1 Np 2.68